## ZrTlAgBr6 (PBE)

Data for a relaxed structure of ZrTlAgBr6.

Values from the calculation:
uncorrected formation energy: -99.42 kJ/mol of atoms

Lattice parameters (Å, degrees): 7.3143 7.3143 14.0515 90.00 90.00 120.00
Last column: nearest neighbours and their distance in Å.
Sites, in units of the cell vectors:
Zr  0.3333  0.6667  0.2500  6 Br 2.66
Zr  0.6667  0.3333  0.7500  6 Br 2.66
Tl  0.0000  0.0000  0.0000  6 Br 3.36
Tl  0.0000  0.0000  0.5000  6 Br 3.36
Ag  0.3333  0.6667  0.7500  6 Br 2.90
Ag  0.6667  0.3333  0.2500  6 Br 2.90
Br  0.0253  0.3855  0.1395  1 Zr 2.66, 1 Ag 2.90
Br  0.0253  0.6398  0.3605  1 Zr 2.66, 1 Ag 2.90
Br  0.3602  0.3855  0.3605  1 Zr 2.66, 1 Ag 2.90
Br  0.3602  0.9747  0.1395  1 Zr 2.66, 1 Ag 2.90
Br  0.3855  0.0253  0.6395  1 Zr 2.66, 1 Ag 2.90
Br  0.3855  0.3602  0.8605  1 Zr 2.66, 1 Ag 2.90
Br  0.6145  0.6398  0.1395  1 Zr 2.66, 1 Ag 2.90
Br  0.6145  0.9747  0.3605  1 Zr 2.66, 1 Ag 2.90
Br  0.6398  0.0253  0.8605  1 Zr 2.66, 1 Ag 2.90
Br  0.6398  0.6145  0.6395  1 Zr 2.66, 1 Ag 2.90
Br  0.9747  0.3602  0.6395  1 Zr 2.66, 1 Ag 2.90
Br  0.9747  0.6145  0.8605  1 Zr 2.66, 1 Ag 2.90

## Pm6Si2CBr3 (PBE)

Data for a relaxed structure of Pm6Si2CBr3.

Values from the calculation:
uncorrected formation energy: -96.02 kJ/mol of atoms

Lattice parameters (Å, degrees): 7.1009 7.1009 7.7218 98.82 98.82 119.94
Last column: nearest neighbours and their distance in Å.
Sites, in units of the cell vectors:
Pm  0.0657  0.3717  0.1971  1 C 2.61, 2 Si 2.86
Pm  0.2398  0.2398  0.8021  1 C 2.61, 2 Si 2.87
Pm  0.3717  0.0657  0.1971  1 C 2.61, 2 Si 2.86
Pm  0.6283  0.9343  0.8029  1 C 2.61, 2 Si 2.86
Pm  0.7602  0.7602  0.1979  1 C 2.61, 2 Si 2.87
Pm  0.9343  0.6283  0.8029  1 C 2.61, 2 Si 2.86
Si  0.3335  0.6665  0.0000  6 Pm 2.86-2.87
Si  0.6665  0.3335  0.0000  6 Pm 2.86-2.87
C  0.0000  0.0000  0.0000  6 Pm 2.61
Br  0.1700  0.8300  0.5000  6 Pm 3.19-3.37
Br  0.5000  0.5000  0.5000  6 Pm 3.18-3.39
Br  0.8300  0.1700  0.5000  6 Pm 3.19-3.37

## SrTlBiCl6 (PBE)

Data for a relaxed structure of SrTlBiCl6.

Values from the calculation:
uncorrected formation energy: -146.08 kJ/mol of atoms

Lattice parameters (Å, degrees): 7.4320 7.4320 13.6102 90.00 90.00 120.00
Last column: nearest neighbours and their distance in Å.
Sites, in units of the cell vectors:
Sr  0.3333  0.6667  0.2500  6 Cl 2.92
Sr  0.6667  0.3333  0.7500  6 Cl 2.92
Tl  0.0000  0.0000  0.0000  6 Cl 3.29
Tl  0.0000  0.0000  0.5000  6 Cl 3.29
Bi  0.3333  0.6667  0.7500  6 Cl 2.74
Bi  0.6667  0.3333  0.2500  6 Cl 2.74
Cl  0.0181  0.3738  0.6361  1 Bi 2.74, 1 Sr 2.92
Cl  0.0181  0.6444  0.8639  1 Bi 2.74, 1 Sr 2.92
Cl  0.3556  0.3738  0.8639  1 Bi 2.74, 1 Sr 2.92
Cl  0.3556  0.9819  0.6361  1 Bi 2.74, 1 Sr 2.92
Cl  0.3738  0.0181  0.1361  1 Bi 2.74, 1 Sr 2.92
Cl  0.3738  0.3556  0.3639  1 Bi 2.74, 1 Sr 2.92
Cl  0.6262  0.6444  0.6361  1 Bi 2.74, 1 Sr 2.92
Cl  0.6262  0.9819  0.8639  1 Bi 2.74, 1 Sr 2.92
Cl  0.6444  0.0181  0.3639  1 Bi 2.74, 1 Sr 2.92
Cl  0.6444  0.6262  0.1361  1 Bi 2.74, 1 Sr 2.92
Cl  0.9819  0.3556  0.1361  1 Bi 2.74, 1 Sr 2.92
Cl  0.9819  0.6262  0.3639  1 Bi 2.74, 1 Sr 2.92

## Dy3FeI3 (PBE)

Data for a relaxed structure of Dy3FeI3.

Values from the calculation:
uncorrected formation energy: -65.88 kJ/mol of atoms

Lattice parameters (Å, degrees): 12.1432 12.1432 12.1432 33.37 33.37 33.37
Last column: nearest neighbours and their distance in Å.
Sites, in units of the cell vectors:
Dy  0.0907  0.4554  0.8191  2 Fe 2.71
Dy  0.1809  0.9093  0.5446  2 Fe 2.71
Dy  0.4554  0.8191  0.0907  2 Fe 2.71
Dy  0.5446  0.1809  0.9093  2 Fe 2.71
Dy  0.8191  0.0907  0.4554  2 Fe 2.71
Dy  0.9093  0.5446  0.1809  2 Fe 2.71
Fe  0.1667  0.1667  0.1667  6 Dy 2.71
Fe  0.8333  0.8333  0.8333  6 Dy 2.71
I  0.0702  0.7165  0.3931  3 Dy 3.04-3.21
I  0.2835  0.6069  0.9298  3 Dy 3.04-3.21
I  0.3931  0.0702  0.7165  3 Dy 3.04-3.21
I  0.6069  0.9298  0.2835  3 Dy 3.04-3.21
I  0.7165  0.3931  0.0702  3 Dy 3.04-3.21
I  0.9298  0.2835  0.6069  3 Dy 3.04-3.21

## LiCrAu4 (PBE)

Data for a relaxed structure of LiCrAu4.

Values from the calculation:
calculated formation energy: 0.0016 eV per atom

Lattice parameters (Å, degrees): 5.4883 5.4883 5.4883 60.00 60.00 60.00
Last column: nearest neighbours and their distance in Å.
Sites, in units of the cell vectors:
Li  0.0000  0.0000  0.0000  12 Au 3.22, 4 Cr 3.36
Cr  0.7500  0.7500  0.7500  12 Au 3.22, 4 Li 3.36
Au  0.3750  0.3750  0.3750  6 Au 2.74
Au  0.3750  0.3750  0.8750  6 Au 2.74
Au  0.3750  0.8750  0.3750  6 Au 2.74
Au  0.8750  0.3750  0.3750  6 Au 2.74

## SrGa8Ag2 (PBE)

Data for a relaxed structure of SrGa8Ag2.

Values from the calculation:
calculated formation energy: 0.0521 eV per atom

Lattice parameters (Å, degrees): 5.3520 5.3520 9.6707 90.00 90.00 90.00
Last column: nearest neighbours and their distance in Å.
Sites, in units of the cell vectors:
Sr  0.0000  0.0000  0.0000  8 Ga 3.33
Ga  0.2525  0.2525  0.2823  4 Ga 2.65-2.70, 2 Ag 2.83
Ga  0.2525  0.2525  0.7177  4 Ga 2.65-2.70, 2 Ag 2.83
Ga  0.2525  0.7475  0.2823  4 Ga 2.65-2.70, 2 Ag 2.83
Ga  0.2525  0.7475  0.7177  4 Ga 2.65-2.70, 2 Ag 2.83
Ga  0.7475  0.2525  0.2823  4 Ga 2.65-2.70, 2 Ag 2.83
Ga  0.7475  0.2525  0.7177  4 Ga 2.65-2.70, 2 Ag 2.83
Ga  0.7475  0.7475  0.2823  4 Ga 2.65-2.70, 2 Ag 2.83
Ga  0.7475  0.7475  0.7177  4 Ga 2.65-2.70, 2 Ag 2.83
Ag  0.0000  0.5000  0.5000  8 Ga 2.83
Ag  0.5000  0.0000  0.5000  8 Ga 2.83

Number 1: total magnetic moment 0.00 μB/cell, Fermi-level density of states 0.0000 states/eV per atom. Number 2: total magnetic moment 0.00 μB/cell, Fermi-level density of states 0.4427 states/eV per atom. Number 3: total magnetic moment 0.00 μB/cell, Fermi-level density of states 0.0000 states/eV per atom. Number 4: total magnetic moment 0.25 μB/cell, Fermi-level density of states 0.7220 states/eV per atom. Number 5: total magnetic moment 4.79 μB/cell, Fermi-level density of states 0.2295 states/eV per atom. Number 6: total magnetic moment 0.00 μB/cell, Fermi-level density of states 0.3720 states/eV per atom.